Entry 1:
NdSm2Ni: relaxed, PBE.

Output
uncorrected energy: -5.072 eV/atom
space group: R3m, No. 160
D(E_F): 1.158 states/eV per atom
calculated volume: 119.2 Å³ per cell
spin magnetization: 0.0 μB/f.u.
calculated formation energy: -0.075 eV per atom
distance to the lowest polymorph of the same formula: 114 meV/atom

Unit cell a=3.872 b=3.872 c=9.444 alpha=78.17 beta=78.17 gamma=60.00
Fractional positions:
1 Sm 0.274 0.274 0.177
2 Sm 0.059 0.059 0.824
3 Ni 0.666 0.666 0.002
4 Nd 0.501 0.501 0.496

***

Entry 2:
TbGaOs: relaxed, PBE.

Output
uncorrected energy: -6.715 eV/atom
space group: Imma, No. 74
D(E_F): 0.650 states/eV per atom
calculated volume: 110.7 Å³ per cell
spin magnetization: 0.0 μB/f.u.
calculated formation energy: -0.419 eV per atom

Unit cell a=5.488 b=5.347 c=5.347 alpha=61.61 beta=59.13 gamma=59.13
Fractional positions:
1 Tb 0.114 0.636 0.636
2 Tb 0.886 0.364 0.364
3 Ga 0.500 0.500 0.000
4 Ga 0.500 0.000 0.500
5 Os 0.000 0.000 0.000
6 Os 0.500 0.000 0.000

***

> Which formula does entry 1 have?

NdSm2Ni

***

> Number 1 is which compound?

NdSm2Ni